## TaCr2FeO6 (PBE+U)

Data for a geometry-optimized TaCr2FeO6 structure.

Summary:
E_tot	-82.92	eV/f.u.
crystal system	triclinic
calculated volume	115.2	Å³/cell
spin magnetization	11.00	μB per formula unit

a b c (Å): 5.3424 5.4272 5.5018
angles (deg): 62.89 63.66 57.26
Each line ends with the local moment (μB).
Positions (direct):
Ta (0.3047, 0.3127, 0.0618)  0.07
Cr (0.5156, 0.5161, 0.4606)  3.07
Cr (0.0190, 0.0272, 0.9390)  3.75
Fe (0.7873, 0.8133, 0.5746)  3.77
O (0.5994, 0.2307, 0.2449)  0.00
O (0.2626, 0.9329, 0.2202)  -0.01
O (0.9198, 0.5608, 0.2693)  0.03
O (0.4112, 0.6969, 0.7602)  -0.02
O (0.7064, 0.1273, 0.7498)  -0.02
O (0.1356, 0.4437, 0.7348)  0.02